(1)
Compound: PrY6Er5
Source: the Alexandria database
Functional: PBE-GGA
Structure: relaxed

Values from the calculation:
* total magnetic moment: 0.0 μB per cell
* offset from the most stable computed form: 0.03 eV per formula unit
* space group: Cmmm
* mass density: 6.569 g/cm³

a = 5.0239 Å, b = 7.9597 Å, c = 10.0636 Å
α = 90.00°, β = 90.00°, γ = 71.60°
With the nearest neighbours (Å) after each atom.
Fractional positions:
Y (0.1670, 0.6660, 0.7479)  7 Er 3.54-3.57, 4 Y 3.55-3.56, 1 Pr 3.58
Y (0.8330, 0.3340, 0.2521)  7 Er 3.54-3.57, 4 Y 3.55-3.56, 1 Pr 3.58
Y (0.8330, 0.3340, 0.7479)  7 Er 3.54-3.57, 4 Y 3.55-3.56, 1 Pr 3.58
Y (0.5000, 0.0000, 0.2528)  6 Er 3.54-3.60, 4 Y 3.56, 2 Pr 3.57-3.58
Y (0.5000, 0.0000, 0.7472)  6 Er 3.54-3.60, 4 Y 3.56, 2 Pr 3.57-3.58
Y (0.1670, 0.6660, 0.2521)  7 Er 3.54-3.57, 4 Y 3.55-3.56, 1 Pr 3.58
Er (0.6667, 0.6666, 0.5000)  8 Y 3.54, 4 Er 3.56
Er (0.3318, 0.3365, 0.0000)  2 Er 3.52, 8 Y 3.55-3.60, 2 Pr 3.57
Er (0.0000, 0.0000, 0.5000)  8 Y 3.54-3.55, 4 Er 3.56
Er (0.6682, 0.6635, 0.0000)  2 Er 3.52, 8 Y 3.55-3.60, 2 Pr 3.57
Er (0.3333, 0.3334, 0.5000)  8 Y 3.54, 4 Er 3.56
Pr (0.0000, 0.0000, 0.0000)  4 Er 3.57, 8 Y 3.57-3.58

(2)
Compound: Pr6Y5Er2
Source: the Alexandria database
Functional: PBE-GGA
Structure: relaxed

Values from the calculation:
* total magnetic moment: 0.0 μB per cell
* raw total energy: -137.609 eV for the cell shown
* space group: Pbam
* mass density: 6.032 g/cm³

a = 3.6534 Å, b = 11.7472 Å, c = 20.8400 Å
α = 90.00°, β = 90.00°, γ = 90.00°
With the nearest neighbours (Å) after each atom.
Fractional positions:
Y (0.5000, 0.8028, 0.0573)  6 Pr 3.53-3.74, 3 Y 3.65-3.75, 2 Er 3.68
Y (0.5000, 0.3028, 0.4427)  6 Pr 3.53-3.74, 3 Y 3.65-3.75, 2 Er 3.68
Y (0.5000, 0.5927, 0.2734)  5 Pr 3.35-3.58, 4 Er 3.56-3.63, 2 Y 3.65
Y (0.5000, 0.6972, 0.5573)  6 Pr 3.53-3.74, 3 Y 3.65-3.75, 2 Er 3.68
Y (0.5000, 0.0000, 0.5000)  6 Pr 3.47-3.48, 4 Y 3.65-3.75
Y (0.5000, 0.1972, 0.9427)  6 Pr 3.53-3.74, 3 Y 3.65-3.75, 2 Er 3.68
Y (0.5000, 0.9073, 0.7734)  5 Pr 3.35-3.58, 4 Er 3.56-3.63, 2 Y 3.65
Y (0.5000, 0.0927, 0.2266)  5 Pr 3.35-3.58, 4 Er 3.56-3.63, 2 Y 3.65
Y (0.5000, 0.5000, 0.0000)  6 Pr 3.47-3.48, 4 Y 3.65-3.75
Y (0.5000, 0.4073, 0.7266)  5 Pr 3.35-3.58, 4 Er 3.56-3.63, 2 Y 3.65
Pr (0.5000, 0.1708, 0.6366)  2 Y 3.35-3.48, 4 Pr 3.50-3.65, 2 Er 3.69
Pr (0.5000, 0.3292, 0.1366)  2 Y 3.35-3.48, 4 Pr 3.50-3.65, 2 Er 3.69
Pr (0.0000, 0.9368, 0.9201)  6 Y 3.58-3.74, 5 Pr 3.65-3.81, 1 Er 3.81
Pr (0.0000, 0.4164, 0.8667)  1 Er 3.35, 6 Y 3.45-3.53, 4 Pr 3.50-3.65
Pr (0.0000, 0.9164, 0.6333)  1 Er 3.35, 6 Y 3.45-3.53, 4 Pr 3.50-3.65
Pr (0.0000, 0.4368, 0.5799)  6 Y 3.58-3.74, 5 Pr 3.65-3.81, 1 Er 3.81
Pr (0.5000, 0.6708, 0.8634)  2 Y 3.35-3.48, 4 Pr 3.50-3.65, 2 Er 3.69
Pr (0.0000, 0.0632, 0.0799)  6 Y 3.58-3.74, 5 Pr 3.65-3.81, 1 Er 3.81
Pr (0.0000, 0.0836, 0.3667)  1 Er 3.35, 6 Y 3.45-3.53, 4 Pr 3.50-3.65
Pr (0.0000, 0.5836, 0.1333)  1 Er 3.35, 6 Y 3.45-3.53, 4 Pr 3.50-3.65
Pr (0.0000, 0.5632, 0.4201)  6 Y 3.58-3.74, 5 Pr 3.65-3.81, 1 Er 3.81
Pr (0.5000, 0.8292, 0.3634)  2 Y 3.35-3.48, 4 Pr 3.50-3.65, 2 Er 3.69
Er (0.0000, 0.3345, 0.2901)  3 Pr 3.35-3.69, 6 Y 3.56-3.68, 2 Er 3.65
Er (0.0000, 0.1655, 0.7901)  3 Pr 3.35-3.69, 6 Y 3.56-3.68, 2 Er 3.65
Er (0.0000, 0.8345, 0.2099)  3 Pr 3.35-3.69, 6 Y 3.56-3.68, 2 Er 3.65
Er (0.0000, 0.6655, 0.7099)  3 Pr 3.35-3.69, 6 Y 3.56-3.68, 2 Er 3.65

Q: Which of these has the lowest mass density?
A: Pr6Y5Er2

Q: What is the formula in the second record?
A: Pr6Y5Er2